No. 1
The following is a DFT calculation (PBE) of Sr3ZrPa3As8 after structural relaxation.

Geometry as CIF:
```
data_Sr3ZrPa3As8
_space_group_name_H-M_alt 'R -3 m'
_space_group_IT_number 166
_space_group_name_Hall '-R 3 2"'
_cell_length_a 8.3322
_cell_length_b 8.3322
_cell_length_c 21.5633
_cell_angle_alpha 90.00
_cell_angle_beta 90.00
_cell_angle_gamma 120.00
loop_
_atom_site_label
_atom_site_type_symbol
_atom_site_fract_x
_atom_site_fract_y
_atom_site_fract_z
Sr1 Sr 0.0000 0.5000 0.0000
Zr1 Zr 0.0000 0.0000 0.5000
Pa1 Pa 0.0000 0.5000 0.5000
As1 As 0.0000 0.0000 0.2407
As2 As 0.0029 0.5014 0.2365
```


No. 2
The following is a DFT calculation (PBE) of SrZrPa2As4 after structural relaxation.

Geometry as CIF:
```
data_SrZrPa2As4
_space_group_name_H-M_alt 'I -4 m 2'
_space_group_IT_number 119
_space_group_name_Hall 'I -4 -2'
_cell_length_a 5.817
_cell_length_b 5.817
_cell_length_c 11.614
_cell_angle_alpha 90.00
_cell_angle_beta 90.00
_cell_angle_gamma 90.00
loop_
_atom_site_label
_atom_site_type_symbol
_atom_site_fract_x
_atom_site_fract_y
_atom_site_fract_z
Sr1 Sr 0.000 0.000 0.000
Zr1 Zr 0.000 0.500 0.750
Pa1 Pa 0.000 0.000 0.500
Pa2 Pa 0.000 0.500 0.250
As1 As 0.000 0.000 0.257
As2 As 0.000 0.500 0.503
```


No. 3
The following is a DFT calculation (PBE) of Pa2TaAs after structural relaxation.

Geometry as CIF:
```
data_Pa2TaAs
_space_group_name_H-M_alt 'P 4/m m m'
_space_group_IT_number 123
_space_group_name_Hall '-P 4 2'
_cell_length_a 4.329
_cell_length_b 4.329
_cell_length_c 4.440
_cell_angle_alpha 90.00
_cell_angle_beta 90.00
_cell_angle_gamma 90.00
loop_
_atom_site_label
_atom_site_type_symbol
_atom_site_fract_x
_atom_site_fract_y
_atom_site_fract_z
Pa1 Pa 0.000 0.500 0.000
Ta1 Ta 0.000 0.000 0.500
As1 As 0.500 0.500 0.500
```


No. 4
The following is a DFT calculation (PBE) of Pa2TaAs after structural relaxation.

Geometry as CIF:
```
data_Pa2TaAs
_space_group_name_H-M_alt 'R -3 m'
_space_group_IT_number 166
_space_group_name_Hall '-R 3 2"'
_cell_length_a 3.1160
_cell_length_b 3.1160
_cell_length_c 31.9313
_cell_angle_alpha 90.00
_cell_angle_beta 90.00
_cell_angle_gamma 120.00
loop_
_atom_site_label
_atom_site_type_symbol
_atom_site_fract_x
_atom_site_fract_y
_atom_site_fract_z
Pa1 Pa 0.0000 0.0000 0.0889
Ta1 Ta 0.0000 0.0000 0.0000
As1 As 0.0000 0.0000 0.5000
```


No. 5
The following is a DFT calculation (PBE) of Pa2TaAs after structural relaxation.

Geometry as CIF:
```
data_Pa2TaAs
_space_group_name_H-M_alt 'P 4/m m m'
_space_group_IT_number 123
_space_group_name_Hall '-P 4 2'
_cell_length_a 3.776
_cell_length_b 3.776
_cell_length_c 6.168
_cell_angle_alpha 90.00
_cell_angle_beta 90.00
_cell_angle_gamma 90.00
loop_
_atom_site_label
_atom_site_type_symbol
_atom_site_fract_x
_atom_site_fract_y
_atom_site_fract_z
Pa1 Pa 0.000 0.000 0.230
Ta1 Ta 0.500 0.500 0.500
As1 As 0.500 0.500 0.000
```


No. 6
The following is a DFT calculation (PBE) of TbPaAs2 after structural relaxation.

Geometry as CIF:
```
data_TbPaAs2
_space_group_name_H-M_alt 'R -3 m'
_space_group_IT_number 166
_space_group_name_Hall '-R 3 2"'
_cell_length_a 4.1887
_cell_length_b 4.1887
_cell_length_c 25.6371
_cell_angle_alpha 90.00
_cell_angle_beta 90.00
_cell_angle_gamma 120.00
loop_
_atom_site_label
_atom_site_type_symbol
_atom_site_fract_x
_atom_site_fract_y
_atom_site_fract_z
Tb1 Tb 0.0000 0.0000 0.0000
Pa1 Pa 0.0000 0.0000 0.5000
As1 As 0.0000 0.0000 0.1088
```


No. 7
The following is a DFT calculation (PBE) of Tb2PaAs after structural relaxation.

Geometry as CIF:
```
data_Tb2PaAs
_space_group_name_H-M_alt 'R -3 m'
_space_group_IT_number 166
_space_group_name_Hall '-R 3 2"'
_cell_length_a 3.6064
_cell_length_b 3.6064
_cell_length_c 30.9630
_cell_angle_alpha 90.00
_cell_angle_beta 90.00
_cell_angle_gamma 120.00
loop_
_atom_site_label
_atom_site_type_symbol
_atom_site_fract_x
_atom_site_fract_y
_atom_site_fract_z
Tb1 Tb 0.0000 0.0000 0.1077
Pa1 Pa 0.0000 0.0000 0.0000
As1 As 0.0000 0.0000 0.5000
```


No. 8
The following is a DFT calculation (PBE) of TbPaAs2 after structural relaxation.

Geometry as CIF:
```
data_TbPaAs2
_space_group_name_H-M_alt 'P n n m'
_space_group_IT_number 58
_space_group_name_Hall '-P 2 2n'
_cell_length_a 7.058
_cell_length_b 7.104
_cell_length_c 4.074
_cell_angle_alpha 90.00
_cell_angle_beta 90.00
_cell_angle_gamma 90.00
loop_
_atom_site_label
_atom_site_type_symbol
_atom_site_fract_x
_atom_site_fract_y
_atom_site_fract_z
Tb1 Tb 0.000 0.000 0.000
Pa1 Pa 0.000 0.500 0.000
As1 As 0.167 0.251 0.500
```


No. 9
The following is a DFT calculation (PBE) of Tb4PaAs5 after structural relaxation.

Geometry as CIF:
```
data_Tb4PaAs5
_space_group_name_H-M_alt 'I 4/m'
_space_group_IT_number 87
_space_group_name_Hall '-I 4'
_cell_length_a 9.221
_cell_length_b 9.221
_cell_length_c 5.833
_cell_angle_alpha 90.00
_cell_angle_beta 90.00
_cell_angle_gamma 90.00
loop_
_atom_site_label
_atom_site_type_symbol
_atom_site_fract_x
_atom_site_fract_y
_atom_site_fract_z
Tb1 Tb 0.099 0.698 0.000
Pa1 Pa 0.000 0.000 0.500
As1 As 0.000 0.000 0.000
As2 As 0.098 0.705 0.500
```


No. 10
The following is a DFT calculation (PBE) of TbPa2As after structural relaxation.

Geometry as CIF:
```
data_TbPa2As
_space_group_name_H-M_alt 'R -3 m'
_space_group_IT_number 166
_space_group_name_Hall '-R 3 2"'
_cell_length_a 3.4314
_cell_length_b 3.4314
_cell_length_c 31.4758
_cell_angle_alpha 90.00
_cell_angle_beta 90.00
_cell_angle_gamma 120.00
loop_
_atom_site_label
_atom_site_type_symbol
_atom_site_fract_x
_atom_site_fract_y
_atom_site_fract_z
Tb1 Tb 0.0000 0.0000 0.0000
Pa1 Pa 0.0000 0.0000 0.1012
As1 As 0.0000 0.0000 0.5000
```


No. 11
The following is a DFT calculation (PBE) of TbPa2As3 after structural relaxation.

Geometry as CIF:
```
data_TbPa2As3
_space_group_name_H-M_alt 'P 1 21/c 1'
_space_group_IT_number 14
_space_group_name_Hall '-P 2ybc'
_cell_length_a 5.805
_cell_length_b 12.293
_cell_length_c 8.211
_cell_angle_alpha 90.00
_cell_angle_beta 90.00
_cell_angle_gamma 90.00
loop_
_atom_site_label
_atom_site_type_symbol
_atom_site_fract_x
_atom_site_fract_y
_atom_site_fract_z
Tb1 Tb 0.250 0.081 0.124
Pa1 Pa 0.250 0.083 0.624
Pa2 Pa 0.251 0.749 0.624
As1 As 0.249 0.250 0.374
As2 As 0.250 0.584 0.372
As3 As 0.250 0.584 0.875
```


No. 12
The following is a DFT calculation (PBE) of TbPaAs after structural relaxation.

Geometry as CIF:
```
data_TbPaAs
_space_group_name_H-M_alt 'P 3 m 1'
_space_group_IT_number 156
_space_group_name_Hall 'P 3 -2"'
_cell_length_a 4.9350
_cell_length_b 4.9350
_cell_length_c 3.6284
_cell_angle_alpha 90.00
_cell_angle_beta 90.00
_cell_angle_gamma 120.00
loop_
_atom_site_label
_atom_site_type_symbol
_atom_site_fract_x
_atom_site_fract_y
_atom_site_fract_z
Tb1 Tb 0.0000 0.0000 0.0000
Pa1 Pa 0.3333 0.6667 0.4946
As1 As 0.6667 0.3333 0.2356
```


No. 13
The following is a DFT calculation (PBE) of Tb3Pa5As8 after structural relaxation.

Geometry as CIF:
```
data_Tb3Pa5As8
_space_group_name_H-M_alt 'R -3 m'
_space_group_IT_number 166
_space_group_name_Hall '-R 3 2"'
_cell_length_a 8.2058
_cell_length_b 8.2058
_cell_length_c 20.1218
_cell_angle_alpha 90.00
_cell_angle_beta 90.00
_cell_angle_gamma 120.00
loop_
_atom_site_label
_atom_site_type_symbol
_atom_site_fract_x
_atom_site_fract_y
_atom_site_fract_z
Tb1 Tb 0.0000 0.5000 0.0000
Pa1 Pa 0.0000 0.0000 0.0000
Pa2 Pa 0.0000 0.0000 0.5000
Pa3 Pa 0.0000 0.5000 0.5000
As1 As 0.0000 0.0000 0.2487
As2 As 0.9995 0.4998 0.2498
```


No. 14
The following is a DFT calculation (PBE) of TbPaAs2 after structural relaxation.

Geometry as CIF:
```
data_TbPaAs2
_space_group_name_H-M_alt 'R 3 m'
_space_group_IT_number 160
_space_group_name_Hall 'R 3 -2"'
_cell_length_a 4.0558
_cell_length_b 4.0558
_cell_length_c 21.0911
_cell_angle_alpha 90.00
_cell_angle_beta 90.00
_cell_angle_gamma 120.00
loop_
_atom_site_label
_atom_site_type_symbol
_atom_site_fract_x
_atom_site_fract_y
_atom_site_fract_z
Tb1 Tb 0.0000 0.0000 0.0000
Pa1 Pa 0.0000 0.0000 0.8236
As1 As 0.0000 0.0000 0.2415
As2 As 0.0000 0.0000 0.4129
```


No. 15
The following is a DFT calculation (PBE) of TbPa4As5 after structural relaxation.

Geometry as CIF:
```
data_TbPa4As5
_space_group_name_H-M_alt 'I 4/m'
_space_group_IT_number 87
_space_group_name_Hall '-I 4'
_cell_length_a 9.166
_cell_length_b 9.166
_cell_length_c 5.795
_cell_angle_alpha 90.00
_cell_angle_beta 90.00
_cell_angle_gamma 90.00
loop_
_atom_site_label
_atom_site_type_symbol
_atom_site_fract_x
_atom_site_fract_y
_atom_site_fract_z
Tb1 Tb 0.000 0.000 0.000
Pa1 Pa 0.101 0.701 0.500
As1 As 0.000 0.000 0.500
As2 As 0.100 0.700 0.000
```


No. 16
The following is a DFT calculation (PBE) of TbPa2As4 after structural relaxation.

Geometry as CIF:
```
data_TbPa2As4
_space_group_name_H-M_alt 'C m c m'
_space_group_IT_number 63
_space_group_name_Hall '-C 2c 2'
_cell_length_a 4.070
_cell_length_b 13.574
_cell_length_c 13.293
_cell_angle_alpha 90.00
_cell_angle_beta 90.00
_cell_angle_gamma 90.00
loop_
_atom_site_label
_atom_site_type_symbol
_atom_site_fract_x
_atom_site_fract_y
_atom_site_fract_z
Tb1 Tb 0.000 0.116 0.250
Pa1 Pa 0.000 0.369 0.066
As1 As 0.000 0.000 0.000
As2 As 0.000 0.268 0.625
As3 As 0.000 0.464 0.250
```


No. 17
The following is a DFT calculation (PBE) of Tb3PaAs4 after structural relaxation.

Geometry as CIF:
```
data_Tb3PaAs4
_space_group_name_H-M_alt 'I 4/m m m'
_space_group_IT_number 139
_space_group_name_Hall '-I 4 2'
_cell_length_a 5.825
_cell_length_b 5.825
_cell_length_c 11.651
_cell_angle_alpha 90.00
_cell_angle_beta 90.00
_cell_angle_gamma 90.00
loop_
_atom_site_label
_atom_site_type_symbol
_atom_site_fract_x
_atom_site_fract_y
_atom_site_fract_z
Tb1 Tb 0.000 0.000 0.000
Tb2 Tb 0.000 0.500 0.250
Pa1 Pa 0.000 0.000 0.500
As1 As 0.000 0.000 0.255
As2 As 0.000 0.500 0.000
```


No. 18
The following is a DFT calculation (PBE) of Tb3PaAs4 after structural relaxation.

Geometry as CIF:
```
data_Tb3PaAs4
_space_group_name_H-M_alt 'C m m m'
_space_group_IT_number 65
_space_group_name_Hall '-C 2 2'
_cell_length_a 8.237
_cell_length_b 11.647
_cell_length_c 4.128
_cell_angle_alpha 90.00
_cell_angle_beta 90.00
_cell_angle_gamma 90.00
loop_
_atom_site_label
_atom_site_type_symbol
_atom_site_fract_x
_atom_site_fract_y
_atom_site_fract_z
Tb1 Tb 0.000 0.000 0.000
Tb2 Tb 0.250 0.250 0.500
Pa1 Pa 0.000 0.500 0.000
As1 As 0.000 0.253 0.000
As2 As 0.247 0.500 0.500
```


No. 19
The following is a DFT calculation (PBE) of Tb5PaAs6 after structural relaxation.

Geometry as CIF:
```
data_Tb5PaAs6
_space_group_name_H-M_alt 'C 1 2/m 1'
_space_group_IT_number 12
_space_group_name_Hall '-C 2y'
_cell_length_a 7.146
_cell_length_b 12.378
_cell_length_c 7.143
_cell_angle_alpha 90.00
_cell_angle_beta 109.44
_cell_angle_gamma 90.00
loop_
_atom_site_label
_atom_site_type_symbol
_atom_site_fract_x
_atom_site_fract_y
_atom_site_fract_z
Tb1 Tb 0.000 0.000 0.000
Tb2 Tb 0.000 0.166 0.500
Tb3 Tb 0.000 0.332 0.000
Pa1 Pa 0.000 0.500 0.500
As1 As 0.245 0.500 0.253
As2 As 0.246 0.336 0.748
```


No. 20
The following is a DFT calculation (PBE) of TbPaAs after structural relaxation.

Geometry as CIF:
```
data_TbPaAs
_space_group_name_H-M_alt 'C m c m'
_space_group_IT_number 63
_space_group_name_Hall '-C 2c 2'
_cell_length_a 3.469
_cell_length_b 23.964
_cell_length_c 3.567
_cell_angle_alpha 90.00
_cell_angle_beta 90.00
_cell_angle_gamma 90.00
loop_
_atom_site_label
_atom_site_type_symbol
_atom_site_fract_x
_atom_site_fract_y
_atom_site_fract_z
Tb1 Tb 0.000 0.192 0.250
Pa1 Pa 0.000 0.047 0.250
As1 As 0.000 0.382 0.250
```


No. 21
The following is a DFT calculation (PBE) of TbPaAs after structural relaxation.

Geometry as CIF:
```
data_TbPaAs
_space_group_name_H-M_alt 'I 4 m m'
_space_group_IT_number 107
_space_group_name_Hall 'I 4 -2'
_cell_length_a 3.610
_cell_length_b 3.610
_cell_length_c 11.654
_cell_angle_alpha 90.00
_cell_angle_beta 90.00
_cell_angle_gamma 90.00
loop_
_atom_site_label
_atom_site_type_symbol
_atom_site_fract_x
_atom_site_fract_y
_atom_site_fract_z
Tb1 Tb 0.000 0.000 0.000
Pa1 Pa 0.000 0.000 0.720
As1 As 0.000 0.000 0.354
```


No. 22
The following is a DFT calculation (PBE) of Tb2ThPaAs4 after structural relaxation.

Geometry as CIF:
```
data_Tb2ThPaAs4
_space_group_name_H-M_alt 'P 1 2/m 1'
_space_group_IT_number 10
_space_group_name_Hall '-P 2y'
_cell_length_a 7.174
_cell_length_b 4.162
_cell_length_c 7.207
_cell_angle_alpha 90.00
_cell_angle_beta 109.54
_cell_angle_gamma 90.00
loop_
_atom_site_label
_atom_site_type_symbol
_atom_site_fract_x
_atom_site_fract_y
_atom_site_fract_z
Tb1 Tb 0.000 0.000 0.000
Tb2 Tb 0.000 0.500 0.500
Th1 Th 0.500 0.000 0.500
Pa1 Pa 0.500 0.500 0.000
As1 As 0.247 0.500 0.242
As2 As 0.250 0.000 0.756
```


No. 23
The following is a DFT calculation (PBE) of TbThPa2As4 after structural relaxation.

Geometry as CIF:
```
data_TbThPa2As4
_space_group_name_H-M_alt 'P 1 2/m 1'
_space_group_IT_number 10
_space_group_name_Hall '-P 2y'
_cell_length_a 7.170
_cell_length_b 4.147
_cell_length_c 7.183
_cell_angle_alpha 90.00
_cell_angle_beta 109.51
_cell_angle_gamma 90.00
loop_
_atom_site_label
_atom_site_type_symbol
_atom_site_fract_x
_atom_site_fract_y
_atom_site_fract_z
Tb1 Tb 0.000 0.000 0.000
Th1 Th 0.000 0.500 0.500
Pa1 Pa 0.500 0.000 0.500
Pa2 Pa 0.500 0.500 0.000
As1 As 0.257 0.500 0.248
As2 As 0.259 0.000 0.758
```


No. 24
The following is a DFT calculation (PBE) of TbTh2PaAs4 after structural relaxation.

Geometry as CIF:
```
data_TbTh2PaAs4
_space_group_name_H-M_alt 'P 1 2/m 1'
_space_group_IT_number 10
_space_group_name_Hall '-P 2y'
_cell_length_a 7.240
_cell_length_b 4.188
_cell_length_c 7.247
_cell_angle_alpha 90.00
_cell_angle_beta 109.50
_cell_angle_gamma 90.00
loop_
_atom_site_label
_atom_site_type_symbol
_atom_site_fract_x
_atom_site_fract_y
_atom_site_fract_z
Tb1 Tb 0.000 0.000 0.000
Th1 Th 0.000 0.500 0.500
Th2 Th 0.500 0.000 0.500
Pa1 Pa 0.500 0.500 0.000
As1 As 0.249 0.500 0.240
As2 As 0.255 0.000 0.762
```


| no. | formation enthalpy at 0 K (eV/atom) | volume (A^3/atom) |
| --- | --- | --- |
| 1 | -1.023 | 28.8 |
| 2 | -1.027 | 24.6 |
| 3 | -0.201 | 20.8 |
| 4 | 0.235 | 22.4 |
| 5 | -0.237 | 22.0 |
| 6 | -0.475 | 32.5 |
| 7 | -0.093 | 29.1 |
| 8 | -1.074 | 25.5 |
| 9 | -1.454 | 24.8 |
| 10 | 0.039 | 26.7 |
| 11 | -1.212 | 24.4 |
| 12 | -0.142 | 25.5 |
| 13 | -1.225 | 24.4 |
| 14 | -1.147 | 25.0 |
| 15 | -1.149 | 24.3 |
| 16 | -0.935 | 26.2 |
| 17 | -1.428 | 24.7 |
| 18 | -1.424 | 24.7 |
| 19 | -1.476 | 24.8 |
| 20 | -0.436 | 24.7 |
| 21 | -0.452 | 25.3 |
| 22 | -1.376 | 25.3 |
| 23 | -1.248 | 25.2 |
| 24 | -1.343 | 25.9 |